A relaxed structure of TbHo2Er7, computed with PBE.

Cell: 5.199 9.453 9.453 Å, 125.69 90.00 90.00°
Sites, in units of the cell vectors:
Er 0.500 0.289 0.068
Er 0.500 0.932 0.711
Er 0.000 0.801 0.199
Er 0.500 0.068 0.289
Er 0.500 0.711 0.932
Er 0.500 0.500 0.500
Er 0.000 0.199 0.801
Ho 0.500 0.299 0.701
Ho 0.500 0.701 0.299
Tb 0.000 0.000 0.000

Properties
relative energy among the computed polymorphs: 6.89 eV per formula unit
crystal system: orthorhombic

---

A relaxed structure of TbHo6Er8, computed with PBE.

Cell: 8.927 8.927 8.518 Å, 58.40 58.40 60.00°
Sites, in units of the cell vectors:
Er 0.257 0.890 0.574
Er 0.424 0.424 0.729
Er 0.721 0.743 0.426
Er 0.576 0.576 0.271
Er 0.110 0.721 0.426
Er 0.890 0.279 0.574
Er 0.743 0.110 0.426
Er 0.279 0.257 0.574
Ho 0.460 0.774 0.877
Ho 0.889 0.460 0.877
Ho 0.226 0.111 0.123
Ho 0.774 0.889 0.877
Ho 0.111 0.540 0.123
Ho 0.540 0.226 0.123
Tb 0.000 0.000 0.000

Properties
crystal system: trigonal

---

A relaxed structure of TbHo3Er2, computed with PBE.

Cell: 5.574 8.849 9.601 Å, 122.85 90.00 108.36°
Sites, in units of the cell vectors:
Ho 0.625 0.251 0.626
Ho 0.249 0.499 0.582
Ho 0.375 0.749 0.374
Ho 0.751 0.501 0.418
Ho 0.000 0.000 0.334
Ho 0.000 0.000 0.666
Er 0.500 0.000 0.168
Er 0.500 0.000 0.832
Er 0.751 0.501 0.084
Er 0.249 0.499 0.916
Tb 0.125 0.249 0.124
Tb 0.875 0.751 0.876

Properties
relative energy among the computed polymorphs: 0.32 eV per formula unit
crystal system: monoclinic

---

A relaxed structure of Tb6HoEr5, computed with PBE.

Cell: 4.981 9.966 9.338 Å, 122.26 105.49 89.99°
Sites, in units of the cell vectors:
Er 0.667 0.667 0.333
Er 0.333 0.333 0.667
Er 0.333 0.833 0.667
Er 0.667 0.167 0.333
Er 0.000 0.500 0.000
Tb 0.500 0.750 0.000
Tb 0.167 0.917 0.333
Tb 0.167 0.417 0.333
Tb 0.833 0.083 0.667
Tb 0.500 0.250 0.000
Tb 0.833 0.583 0.667
Ho 0.000 0.000 0.000

Properties
crystal system: orthorhombic

---

A relaxed structure of Tb2Ho7Er, computed with PBE.

Cell: 6.106 9.309 9.317 Å, 141.80 70.91 102.62°
Sites, in units of the cell vectors:
Ho 0.000 0.400 0.600
Ho 0.500 0.300 0.200
Ho 0.001 0.800 0.200
Ho 0.999 0.200 0.800
Ho 0.500 0.500 0.000
Ho 0.000 0.600 0.400
Ho 0.500 0.700 0.800
Tb 0.499 0.900 0.600
Tb 0.501 0.100 0.400
Er 0.000 0.000 0.000

Properties
relative energy among the computed polymorphs: 0.00 eV per formula unit
crystal system: triclinic

---

A relaxed structure of Tb2Ho3Er, computed with PBE.

Cell: 11.400 6.135 6.135 Å, 120.03 90.00 90.00°
Sites, in units of the cell vectors:
Ho 0.470 0.500 0.500
Ho 0.970 0.166 0.834
Ho 0.970 0.500 0.500
Ho 0.970 0.834 0.166
Ho 0.470 0.834 0.166
Ho 0.470 0.166 0.834
Er 0.720 0.834 0.834
Er 0.220 0.166 0.166
Tb 0.720 0.501 0.167
Tb 0.220 0.833 0.499
Tb 0.220 0.499 0.833
Tb 0.720 0.167 0.501

Properties
relative energy among the computed polymorphs: 0.00 eV per formula unit
crystal system: orthorhombic

---

VASP energy for the records above, in order: -3.862 -4.441 -4.507 -4.579 -4.566 -4.588 eV/atom
M_tot for the records above, in order: 0.00 0.00 0.00 0.00 0.00 0.00 μB/cell